A plane-wave DFT calculation with GGA-PBE was carried out for an optimized crystal structure of Ac7Ge2O2.

a = 10.248 Å, b = 11.607 Å, c = 6.960 Å
α = 90.00°, β = 106.28°, γ = 90.00°
Space group C2/m (No. 12)
Inequivalent atoms, fractional coordinates:
Ac (0.000, 0.000, 0.000) (multiplicity 2)
Ac (0.126, 0.500, 0.727) (multiplicity 4)
Ac (0.205, 0.332, 0.235) (multiplicity 8)
Ge (0.000, 0.258, 0.500) (multiplicity 4)
O (0.219, 0.000, 0.921) (multiplicity 4)

Calculated values
energy relative to the elements, uncorrected: -1.08 eV/atom
electronic total energy: -119.6 eV for the cell shown
Fermi-level density of states: 10.7 states/eV/f.u.
total magnetization: 0.00 μB per cell
calculated volume: 36.122 Å³ per atom



A plane-wave DFT calculation with GGA-PBE was carried out for an optimized crystal structure of PmPr2DyP4.

a = 7.164 Å, b = 4.140 Å, c = 7.165 Å
α = 90.00°, β = 109.46°, γ = 90.00°
Space group P2/m (No. 10)
Inequivalent atoms, fractional coordinates:
Pm (0.000, 0.000, 0.000) (multiplicity 1)
Pr (0.500, 0.000, 0.500) (multiplicity 1)
Pr (0.500, 0.500, 0.000) (multiplicity 1)
Dy (0.000, 0.500, 0.500) (multiplicity 1)
P (0.241, 0.000, 0.744) (multiplicity 2)
P (0.243, 0.500, 0.251) (multiplicity 2)

Calculated values
electronic total energy: -52.9 eV for the cell shown
Fermi-level density of states: 0.7 states/eV/f.u.
total magnetization: 0.00 μB per cell
energy of formation: -1.544 eV per atom
calculated volume: 25.052 Å³ per atom



A plane-wave DFT calculation with GGA-PBE was carried out for an optimized crystal structure of Pm3Ag2Au5.

a = 11.602 Å, b = 16.476 Å, c = 6.203 Å
α = 90.00°, β = 122.32°, γ = 90.00°
Space group C2/c (No. 15)
Inequivalent atoms, fractional coordinates:
Pm (0.000, 0.231, 0.250) (multiplicity 4)
Pm (0.229, 0.079, 0.980) (multiplicity 8)
Ag (0.231, 0.387, 0.480) (multiplicity 8)
Au (0.000, 0.044, 0.250) (multiplicity 4)
Au (0.000, 0.210, 0.750) (multiplicity 4)
Au (0.000, 0.484, 0.250) (multiplicity 4)
Au (0.250, 0.250, 0.224) (multiplicity 8)

Calculated values
electronic total energy: -162.8 eV for the cell shown
Fermi-level density of states: 5.7 states/eV/f.u.
total magnetization: 0.00 μB per cell
energy of formation: -0.435 eV per atom
calculated volume: 25.051 Å³ per atom



A plane-wave DFT calculation with GGA-PBE was carried out for an optimized crystal structure of Ho4Mn3Ga16.

a = 6.058 Å, b = 6.058 Å, c = 11.281 Å
α = 90.00°, β = 90.00°, γ = 90.00°
Space group P4/mmm (No. 123)
Inequivalent atoms, fractional coordinates:
Ho (0.000, 0.500, 0.190) (multiplicity 4)
Mn (0.000, 0.000, 0.000) (multiplicity 1)
Mn (0.000, 0.500, 0.500) (multiplicity 2)
Ga (0.000, 0.000, 0.217) (multiplicity 2)
Ga (0.250, 0.250, 0.379) (multiplicity 8)
Ga (0.284, 0.284, 0.000) (multiplicity 4)
Ga (0.500, 0.500, 0.194) (multiplicity 2)

Calculated values
electronic total energy: -103.7 eV for the cell shown
Fermi-level density of states: 9.6 states/eV/f.u.
total magnetization: 5.98 μB per cell
energy of formation: -0.412 eV per atom
calculated volume: 18.003 Å³ per atom



Repeat the third record exactly.
A plane-wave DFT calculation with GGA-PBE was carried out for an optimized crystal structure of Pm3Ag2Au5.

a = 11.602 Å, b = 16.476 Å, c = 6.203 Å
α = 90.00°, β = 122.32°, γ = 90.00°
Space group C2/c (No. 15)
Inequivalent atoms, fractional coordinates:
Pm (0.000, 0.231, 0.250) (multiplicity 4)
Pm (0.229, 0.079, 0.980) (multiplicity 8)
Ag (0.231, 0.387, 0.480) (multiplicity 8)
Au (0.000, 0.044, 0.250) (multiplicity 4)
Au (0.000, 0.210, 0.750) (multiplicity 4)
Au (0.000, 0.484, 0.250) (multiplicity 4)
Au (0.250, 0.250, 0.224) (multiplicity 8)

Calculated values
electronic total energy: -162.8 eV for the cell shown
Fermi-level density of states: 5.7 states/eV/f.u.
total magnetization: 0.00 μB per cell
energy of formation: -0.435 eV per atom
calculated volume: 25.051 Å³ per atom



Which of these has the lowest calculated volume?
Ho4Mn3Ga16